# Dy3AuS6 (GGA-PBE, relaxed)
data_Dy3AuS6
_cell_length_a 4.203
_cell_length_b 6.697
_cell_length_c 8.473
_cell_angle_alpha 88.81
_cell_angle_beta 77.89
_cell_angle_gamma 84.50
_space_group_name_H-M_alt 'P 1'
_space_group_IT_number 1
loop_
_space_group_symop_operation_xyz
'x,y,z'
loop_
_atom_site_label
_atom_site_type_symbol
_atom_site_fract_x
_atom_site_fract_y
_atom_site_fract_z
_atom_site_occupancy
Au1 Au 0.000 0.000 0.000 1
Dy1 Dy 0.634 0.454 0.230 1
Dy2 Dy 0.000 0.000 0.500 1
Dy3 Dy 0.366 0.546 0.770 1
S1 S 0.158 0.675 0.099 1
S2 S 0.174 0.173 0.206 1
S3 S 0.553 0.737 0.469 1
S4 S 0.447 0.263 0.531 1
S5 S 0.826 0.827 0.794 1
S6 S 0.842 0.325 0.901 1
# V	23.21	A^3/atom
# energy	-5.689	eV per atom
# total magnetic moment	0.00	μB per formula unit